Compound: GaReHg2
Source: Alexandria
Functional: PBE-GGA
Structure: relaxed

Cell: 3.916 3.916 10.775 Å, 79.53 79.53 90.00°
Positions (direct):
Re1 0.000 0.000 0.000
Re2 0.750 0.250 0.500
Hg1 0.633 0.125 0.250
Hg2 0.117 0.625 0.250
Hg3 0.375 0.367 0.750
Hg4 0.875 0.883 0.750
Ga1 0.500 0.500 0.000
Ga2 0.250 0.750 0.500

Space-group type: No. 122
Calculated volume in Å³/cell: 160

=====

Compound: GaRe3Hg
Source: Alexandria
Functional: PBE-GGA
Structure: relaxed

Cell: 4.938 4.938 4.938 Å, 90.00 90.00 90.00°
Site moments in Bohr magnetons follow the coordinates.
Positions (direct):
Re1 0.000 0.500 0.000  1.29
Re2 0.000 0.000 0.500  1.92
Re3 0.500 0.000 0.000  1.14
Hg1 0.000 0.000 0.000  0.06
Ga1 0.500 0.500 0.500  -0.03

Space-group type: No. 221
Calculated volume in Å³/cell: 120

=====

Compound: GaRe3Hg
Source: Alexandria
Functional: PBE-GGA
Structure: relaxed

Cell: 4.564 4.564 4.564 Å, 90.00 90.00 90.00°
Positions (direct):
Re1 0.000 0.500 0.000
Re2 0.000 0.000 0.500
Re3 0.500 0.000 0.000
Hg1 0.500 0.500 0.500
Ga1 0.000 0.000 0.000

Space-group type: No. 221
Calculated volume in Å³/cell: 95

=====

Compound: Ga2ReSnHg
Source: Alexandria
Functional: PBE-GGA
Structure: relaxed

Cell: 5.229 5.437 5.229 Å, 90.00 90.00 90.00°
Site moments in Bohr magnetons follow the coordinates.
Positions (direct):
Re1 0.500 0.500 0.500  3.57
Hg1 0.000 0.500 0.000  0.01
Ga1 0.000 0.000 0.500  -0.05
Ga2 0.500 0.000 0.000  -0.07
Sn1 0.000 0.000 0.000  0.03

Space-group type: No. 123
Calculated volume in Å³/cell: 149

=====

Let's list final energy in order: -0.233; -0.362; -0.450; -0.219 Ry/atom.
Let's list ΔE_f in order: 851; 3212; 2007; 1585 meV/atom.